[1]
V3CrRu2 | the Alexandria database | PBE | relaxed; N(E_F) = 0.66 states/eV/atom; energy of formation = -0.278 eV per atom; SG = Cmmm, No. 65; distance to the lowest polymorph of the same formula = 0.000 eV/atom
1.0
4.205 0.002 0.017
2.105 6.291 0.008
-0.024 0.000 5.982
V Cr Ru
6 2 4
direct
0.830 0.341 0.762
0.500 0.000 0.242
0.170 0.659 0.238
0.830 0.341 0.238
0.170 0.659 0.762
0.500 0.000 0.758
0.333 0.333 0.000
0.667 0.667 0.000
0.000 0.000 0.000
0.000 0.000 0.500
0.334 0.333 0.500
0.666 0.667 0.500

***

[2]
Tb4BSeS2 | the Alexandria database | PBE | relaxed; N(E_F) = 0.22 states/eV/atom; SG = I-4m2, No. 119; formation energy without anion corrections = -1.537 eV/atom
1.0
5.585 0.003 0.000
-0.003 5.585 0.000
-2.791 -2.794 5.606
Tb B Se S
4 1 1 2
direct
0.983 0.483 0.967
0.517 0.017 0.033
0.754 0.754 0.509
0.246 0.246 0.491
0.750 0.250 0.500
0.500 0.500 0.000
0.250 0.750 0.500
0.000 0.000 0.000

***

[3]
SrGaW3 | the Alexandria database | PBE | relaxed; N(E_F) = 1.24 states/eV/atom; energy of formation = 1.782 eV per atom; SG = Pm-3m, No. 221; distance to the lowest polymorph of the same formula = 0.000 eV/atom
1.0
4.790 0.000 0.000
0.000 4.790 0.000
0.000 0.000 4.790
Sr Ga W
1 1 3
direct
0.500 0.500 0.500
0.000 0.000 0.000
0.000 0.500 0.000
0.000 0.000 0.500
0.500 0.000 0.000

***

[4]
LiGaPO5 | the Alexandria database | PBE | relaxed; SG = P-1, No. 2; formation energy without anion corrections = -1.765 eV/atom; distance to the lowest polymorph of the same formula = 0.119 eV/atom
1.0
4.640 -0.139 -0.183
-0.099 7.052 -0.095
0.030 1.586 5.833
Li Ga P O
2 2 2 10
direct
0.523 0.785 0.714
0.477 0.215 0.286
0.000 0.000 0.000
0.000 0.500 0.500
0.582 0.328 0.768
0.418 0.672 0.232
0.732 0.536 0.736
0.268 0.464 0.264
0.712 0.263 0.560
0.288 0.737 0.440
0.672 0.190 0.999
0.328 0.810 0.001
0.250 0.333 0.753
0.750 0.667 0.247
0.878 0.945 0.733
0.122 0.055 0.267